VASP calculation (GGA-PBE) on crystalline CoMoRu4 at its relaxed geometry.

Results
Mass density = 10.4 g/cm³
DFT total energy = -8.668 eV per atom
Total moment = 3.79 μB/f.u.
SG = F-43m, No. 216

```
CoMoRu4
1.0
0.0000 3.5516 3.5516
3.5516 0.0000 3.5516
3.5516 3.5516 0.0000
Co Mo Ru
1 1 4
direct
0.0000 0.0000 0.0000
0.7500 0.7500 0.7500
0.3745 0.3745 0.3745
0.3745 0.3745 0.8764
0.3745 0.8764 0.3745
0.8764 0.3745 0.3745
```



VASP calculation (GGA-PBE) on crystalline Co2MoRu2 at its relaxed geometry.

Results
Mass density = 10.4 g/cm³
DFT total energy = -8.439 eV per atom
Total moment = 1.84 μB/f.u.
SG = P4/mbm, No. 127
Excess energy over the best structure of this formula in the dataset = 0.1064 eV/atom

```
Co2MoRu2
1.0
7.0747 0.0000 0.0000
0.0000 7.0747 0.0000
0.0000 0.0000 2.6632
Co Mo Ru
4 2 4
direct
0.1700 0.3300 0.0000
0.3300 0.8300 0.0000
0.6700 0.1700 0.0000
0.8300 0.6700 0.0000
0.0000 0.0000 0.5000
0.5000 0.5000 0.5000
0.1269 0.6269 0.5000
0.3731 0.1269 0.5000
0.6269 0.8731 0.5000
0.8731 0.3731 0.5000
```



VASP calculation (GGA-PBE) on crystalline CoMo2Ru at its relaxed geometry.

Results
Mass density = 10.4 g/cm³
DFT total energy = -9.391 eV per atom
Total moment = 0.00 μB/f.u.
SG = I-4m2, No. 119
Excess energy over the best structure of this formula in the dataset = 0.0881 eV/atom

```
CoMo2Ru
1.0
-1.9110 1.9110 3.8538
1.9110 -1.9110 3.8538
1.9110 1.9110 -3.8538
Co Mo Ru
1 2 1
direct
0.0000 0.0000 0.0000
0.2500 0.7500 0.5000
0.5000 0.5000 0.0000
0.7500 0.2500 0.5000
```



VASP calculation (GGA-PBE) on crystalline CoMo2Ru at its relaxed geometry.

Results
Mass density = 10.3 g/cm³
DFT total energy = -9.399 eV per atom
Total moment = 0.00 μB/f.u.
SG = Cm, No. 8
Excess energy over the best structure of this formula in the dataset = 0.0798 eV/atom

```
CoMo2Ru
1.0
4.4571 -1.3755 0.0000
4.4571 1.3755 0.0000
-0.8512 0.0000 4.6085
Co Mo Ru
1 2 1
direct
0.0000 0.0000 0.0000
0.5087 0.5087 0.4985
0.7408 0.7408 0.1907
0.2637 0.2637 0.7188
```



VASP calculation (GGA-PBE) on crystalline Co2MoRu2 at its relaxed geometry.

Results
Mass density = 10.6 g/cm³
DFT total energy = -8.546 eV per atom
Total moment = 0.00 μB/f.u.
SG = P4/mbm, No. 127
Excess energy over the best structure of this formula in the dataset = 0.0000 eV/atom

```
Co2MoRu2
1.0
6.9580 0.0000 0.0000
0.0000 6.9580 0.0000
0.0000 0.0000 2.6946
Co Mo Ru
4 2 4
direct
0.1196 0.3804 0.0000
0.3804 0.8804 0.0000
0.6196 0.1196 0.0000
0.8804 0.6196 0.0000
0.0000 0.0000 0.0000
0.5000 0.5000 0.0000
0.1754 0.6754 0.5000
0.3246 0.1754 0.5000
0.6754 0.8246 0.5000
0.8246 0.3246 0.5000
```



VASP calculation (GGA-PBE) on crystalline CoMo2Ru at its relaxed geometry.

Results
Mass density = 10.2 g/cm³
DFT total energy = -9.282 eV per atom
Total moment = 0.70 μB/f.u.
SG = R3m, No. 160
Excess energy over the best structure of this formula in the dataset = 0.1977 eV/atom

```
CoMo2Ru
1.0
1.3597 0.7850 8.9382
-1.3597 0.7850 8.9382
0.0000 -1.5700 8.9382
Co Mo Ru
1 2 1
direct
0.0000 0.0000 0.0000
0.5047 0.5047 0.5047
0.7440 0.7440 0.7440
0.2529 0.2529 0.2529
```



| no. | energy of formation from the pure elements (eV per atom) |
| --- | --- |
| 1 | 0.51 |
| 2 | 0.28 |
| 3 | 0.12 |
| 4 | 0.11 |
| 5 | 0.17 |
| 6 | 0.23 |